(a)
Computed, not measured: crystalline HgB3Os at its relaxed geometry at the PBE-GGA level of DFT.

```
5
Lattice="4.1938 0.0000 0.0000 0.0000 4.1938 0.0000 0.0000 0.0000 4.1938" Properties=species:S:1:pos:R:3 pbc="T T T"
Hg 0.0000 0.0000 0.0000
B 0.0000 0.0000 2.0969
B 0.0000 2.0969 0.0000
B 2.0969 0.0000 0.0000
Os 2.0969 2.0969 2.0969
```

Volume (Å³ per atom): 14.8
Space-group type: Pm-3m, No. 221
DOS(E_F) (states/eV/f.u.): 4.36



(b)
Computed, not measured: crystalline HgB3Os at its relaxed geometry at the PBE-GGA level of DFT.

```
5
Lattice="4.1885 0.0000 0.0000 0.0000 4.1885 0.0000 0.0000 0.0000 4.1885" Properties=species:S:1:pos:R:3 pbc="T T T"
Hg 0.0000 0.0000 0.0000
B 0.0000 2.0942 2.0942
B 2.0942 0.0000 2.0942
B 2.0942 2.0942 0.0000
Os 2.0942 2.0942 2.0942
```

Volume (Å³ per atom): 14.7
Space-group type: Pm-3m, No. 221
DOS(E_F) (states/eV/f.u.): 2.08



Order from most stable to least stable according to the calculation: (b), (a)



(a)
Computed, not measured: crystalline Hg2BP at its relaxed geometry at the PBE-GGA level of DFT.

```
8
Lattice="-2.8803 2.8803 5.2433 2.8803 -2.8803 5.2433 2.8803 2.8803 -5.2433" Properties=species:S:1:pos:R:3 pbc="T T T"
Hg 4.3204 1.1799 -1.3108
Hg 1.1799 1.4401 1.3108
Hg -1.4401 1.7004 3.9325
Hg 1.7004 1.4401 6.5541
B 0.0000 0.0000 0.0000
B 0.0000 2.8803 2.6217
P 2.8803 0.0000 2.6217
P 0.0000 0.0000 5.2433
```

Volume (Å³ per atom): 21.7
Space-group type: I-42d, No. 122
DOS(E_F) (states/eV/f.u.): 2.12



(b)
Computed, not measured: crystalline Hg2BP at its relaxed geometry at the PBE-GGA level of DFT.

```
4
Lattice="0.0000 3.3370 3.3370 3.3370 0.0000 3.3370 3.3370 3.3370 0.0000" Properties=species:S:1:pos:R:3 pbc="T T T"
Hg 1.6685 1.6685 1.6685
Hg 5.0055 5.0055 5.0055
B 0.0000 0.0000 0.0000
P 3.3370 3.3370 3.3370
```

Volume (Å³ per atom): 18.6
Space-group type: Fm-3m, No. 225
DOS(E_F) (states/eV/f.u.): 0.75



Order from most stable to least stable according to the calculation: (a), (b)